Entry 1:
First-principles (GGA-PBEsol) data for a relaxed MnGeRu2Au crystal, as listed in the Alexandria database.

Electronic total energy: -6.765 eV/atom
Space group: P4/mmm (123)
Fermi-level density of states: 5.6 states/eV/f.u.
Size of the total moment: 0.092 μB per atom

Cell lengths 4.336, 4.336, 4.387 Å; angles 90.00, 90.00, 90.00 degrees
Last column: magnetic moment on the atom in μB.
Element x y z (fractional)
Ru (0.000, 0.500, 0.000)  0.22
Ru (0.500, 0.000, 0.000)  0.22
Ge (0.000, 0.000, 0.500)  0.00
Mn (0.000, 0.000, 0.000)  -0.02
Au (0.500, 0.500, 0.500)  0.03

Entry 2:
First-principles (GGA-PBEsol) data for a relaxed GeAuN2 crystal, as listed in the Alexandria database.

Electronic total energy: -5.986 eV/atom
Space group: I-42d (122)
Energy relative to the elements, uncorrected: 0.494 eV per atom
Fermi-level density of states: 3.5 states/eV/f.u.
Size of the total moment: 0.000 μB per atom

Cell lengths 4.880, 5.486, 4.880 Å; angles 63.59, 90.00, 116.41 degrees
Element x y z (fractional)
Ge (0.250, 0.500, 0.250)
Ge (0.500, 0.000, 0.500)
Au (0.750, 0.500, 0.750)
Au (0.000, 0.000, 0.000)
N (0.563, 0.750, 0.375)
N (0.187, 0.750, 0.875)
N (0.875, 0.250, 0.563)
N (0.375, 0.250, 0.187)

Entry 3:
First-principles (GGA-PBEsol) data for a relaxed GeP2AuN crystal, as listed in the Alexandria database.

Electronic total energy: -4.711 eV/atom
Space group: P4/mmm (123)
Energy relative to the elements, uncorrected: 1.084 eV per atom
Fermi-level density of states: 3.8 states/eV/f.u.
Size of the total moment: 0.000 μB per atom

Cell lengths 3.487, 4.828, 4.828 Å; angles 90.00, 90.00, 90.00 degrees
Element x y z (fractional)
P (0.000, 0.000, 0.500)
P (0.000, 0.500, 0.000)
Ge (0.000, 0.000, 0.000)
Au (0.500, 0.500, 0.500)
N (0.500, 0.000, 0.000)

Entry 4:
First-principles (GGA-PBEsol) data for a relaxed GePbAu2N crystal, as listed in the Alexandria database.

Electronic total energy: -3.201 eV/atom
Space group: P4/mmm (123)
Energy relative to the elements, uncorrected: 1.861 eV per atom
Fermi-level density of states: 2.0 states/eV/f.u.
Size of the total moment: 0.474 μB per atom

Cell lengths 5.225, 5.225, 5.501 Å; angles 90.00, 90.00, 90.00 degrees
Last column: magnetic moment on the atom in μB.
Element x y z (fractional)
Pb (0.000, 0.000, 0.000)  0.03
Ge (0.000, 0.000, 0.500)  -0.15
Au (0.000, 0.500, 0.000)  0.04
Au (0.500, 0.000, 0.000)  0.04
N (0.500, 0.500, 0.500)  1.75

Entry 5:
First-principles (GGA-PBEsol) data for a relaxed NaGeAu3 crystal, as listed in the Alexandria database.

Electronic total energy: -3.854 eV/atom
Space group: Pa-3 (205)
Fermi-level density of states: 1.0 states/eV/f.u.
Size of the total moment: 0.000 μB per atom

Cell lengths 8.983, 8.983, 8.983 Å; angles 90.00, 90.00, 90.00 degrees
Element x y z (fractional)
Na (0.097, 0.097, 0.097)
Na (0.403, 0.903, 0.597)
Na (0.597, 0.403, 0.903)
Na (0.903, 0.597, 0.403)
Na (0.903, 0.903, 0.903)
Na (0.597, 0.097, 0.403)
Na (0.403, 0.597, 0.097)
Na (0.097, 0.403, 0.597)
Ge (0.110, 0.890, 0.390)
Ge (0.890, 0.390, 0.110)
Ge (0.610, 0.610, 0.610)
Ge (0.610, 0.890, 0.110)
Ge (0.890, 0.110, 0.610)
Ge (0.110, 0.610, 0.890)
Ge (0.390, 0.390, 0.390)
Ge (0.390, 0.110, 0.890)
Au (0.588, 0.730, 0.358)
Au (0.730, 0.358, 0.588)
Au (0.770, 0.642, 0.088)
Au (0.270, 0.858, 0.912)
Au (0.642, 0.088, 0.770)
Au (0.588, 0.770, 0.858)
Au (0.858, 0.588, 0.770)
Au (0.642, 0.412, 0.270)
Au (0.088, 0.730, 0.142)
Au (0.142, 0.088, 0.730)
Au (0.912, 0.230, 0.358)
Au (0.412, 0.270, 0.642)
Au (0.358, 0.912, 0.230)
Au (0.270, 0.642, 0.412)
Au (0.230, 0.358, 0.912)
Au (0.730, 0.142, 0.088)
Au (0.088, 0.770, 0.642)
Au (0.858, 0.912, 0.270)
Au (0.912, 0.270, 0.858)
Au (0.358, 0.588, 0.730)
Au (0.142, 0.412, 0.230)
Au (0.412, 0.230, 0.142)
Au (0.230, 0.142, 0.412)
Au (0.770, 0.858, 0.588)

Entry 6:
First-principles (GGA-PBEsol) data for a relaxed NaGeAu crystal, as listed in the Alexandria database.

Electronic total energy: -3.715 eV/atom
Space group: Imm2 (44)
Fermi-level density of states: 0.8 states/eV/f.u.
Size of the total moment: 0.000 μB per atom

Cell lengths 4.382, 5.654, 5.654 Å; angles 79.41, 67.20, 67.20 degrees
Element x y z (fractional)
Na (0.280, 0.220, 0.220)
Na (0.407, 0.593, 0.593)
Ge (0.678, 0.999, 0.645)
Ge (0.678, 0.645, 0.999)
Au (0.999, 0.201, 0.800)
Au (0.999, 0.800, 0.201)

Entry 7:
First-principles (GGA-PBEsol) data for a relaxed NaGe2Au2 crystal, as listed in the Alexandria database.

Electronic total energy: -3.984 eV/atom
Space group: I4/mmm (139)
Fermi-level density of states: 1.9 states/eV/f.u.
Size of the total moment: 0.000 μB per atom

Cell lengths 4.499, 4.499, 5.934 Å; angles 112.28, 112.28, 90.00 degrees
Element x y z (fractional)
Na (0.000, 0.000, 0.000)
Ge (0.376, 0.376, 0.753)
Ge (0.624, 0.624, 0.247)
Au (0.250, 0.750, 0.500)
Au (0.750, 0.250, 0.500)

Entry 8:
First-principles (GGA-PBEsol) data for a relaxed Na2Ge2Au crystal, as listed in the Alexandria database.

Electronic total energy: -3.547 eV/atom
Space group: P4/mbm (127)
Fermi-level density of states: 1.0 states/eV/f.u.
Size of the total moment: 0.000 μB per atom

Cell lengths 4.869, 6.507, 6.507 Å; angles 90.00, 90.00, 90.00 degrees
Element x y z (fractional)
Na (0.500, 0.176, 0.676)
Na (0.500, 0.676, 0.824)
Na (0.500, 0.824, 0.324)
Na (0.500, 0.324, 0.176)
Ge (0.000, 0.368, 0.868)
Ge (0.000, 0.868, 0.632)
Ge (0.000, 0.632, 0.132)
Ge (0.000, 0.132, 0.368)
Au (0.000, 0.000, 0.000)
Au (0.000, 0.500, 0.500)

Entry 9:
First-principles (GGA-PBEsol) data for a relaxed Na2GeAu2 crystal, as listed in the Alexandria database.

Electronic total energy: -2.934 eV/atom
Space group: I4/mmm (139)
Fermi-level density of states: 1.4 states/eV/f.u.
Size of the total moment: 0.000 μB per atom

Cell lengths 3.802, 3.802, 7.583 Å; angles 104.52, 104.52, 90.00 degrees
Element x y z (fractional)
Na (0.250, 0.750, 0.500)
Na (0.750, 0.250, 0.500)
Ge (0.000, 0.000, 0.000)
Au (0.406, 0.406, 0.812)
Au (0.594, 0.594, 0.188)

Entry 10:
First-principles (GGA-PBEsol) data for a relaxed SrNbGe2Au crystal, as listed in the Alexandria database.

Electronic total energy: -3.566 eV/atom
Space group: P4/mmm (123)
Fermi-level density of states: 7.4 states/eV/f.u.
Size of the total moment: 0.480 μB per atom

Cell lengths 5.209, 5.230, 5.230 Å; angles 90.00, 90.00, 90.00 degrees
Last column: magnetic moment on the atom in μB.
Element x y z (fractional)
Sr (0.000, 0.000, 0.000)  -0.05
Nb (0.500, 0.500, 0.500)  2.24
Au (0.500, 0.000, 0.000)  -0.04
Ge (0.000, 0.000, 0.500)  -0.08
Ge (0.000, 0.500, 0.000)  -0.08

Entry 11:
First-principles (GGA-PBEsol) data for a relaxed GeAuO3 crystal, as listed in the Alexandria database.

Electronic total energy: -4.786 eV/atom
Space group: Pm-3m (221)
Energy relative to the elements, uncorrected: 0.136 eV per atom
Fermi-level density of states: 3.0 states/eV/f.u.
Size of the total moment: 0.000 μB per atom

Cell lengths 3.988, 3.988, 3.988 Å; angles 90.00, 90.00, 90.00 degrees
Element x y z (fractional)
Ge (0.500, 0.500, 0.500)
Au (0.000, 0.000, 0.000)
O (0.000, 0.500, 0.000)
O (0.000, 0.000, 0.500)
O (0.500, 0.000, 0.000)

Entry 12:
First-principles (GGA-PBEsol) data for a relaxed Ge2SbPAu crystal, as listed in the Alexandria database.

Electronic total energy: -3.967 eV/atom
Space group: P4/mmm (123)
Energy relative to the elements, uncorrected: 0.863 eV per atom
Fermi-level density of states: 2.8 states/eV/f.u.
Size of the total moment: 0.000 μB per atom

Cell lengths 4.797, 4.797, 5.484 Å; angles 90.00, 90.00, 90.00 degrees
Element x y z (fractional)
Sb (0.000, 0.000, 0.500)
Ge (0.000, 0.500, 0.000)
Ge (0.500, 0.000, 0.000)
Au (0.000, 0.000, 0.000)
P (0.500, 0.500, 0.500)